A plane-wave DFT calculation with PBE was carried out for a relaxed CeMg3Zn9 crystal.

Cell: 5.5942 12.9376 6.9559 Å, 90.00 113.20 90.00°
Space group C2/m (No. 12)
Symmetry-distinct sites (fractional):
Ce (0.0000, 0.0000, 0.0000) x2
Mg (0.0000, 0.0000, 0.5000) x2
Mg (0.2500, 0.2500, 0.0000) x4
Zn (0.0000, 0.5000, 0.5000) x2
Zn (0.1015, 0.3943, 0.2181) x8
Zn (0.1894, 0.1761, 0.3595) x8

---

A plane-wave DFT calculation with PBE was carried out for a relaxed CeMgZn11 crystal.

Cell: 5.3544 12.6214 6.9135 Å, 90.00 112.63 90.00°
Space group C2/m (No. 12)
Symmetry-distinct sites (fractional):
Ce (0.0000, 0.0000, 0.0000) x2
Mg (0.0000, 0.0000, 0.5000) x2
Zn (0.0000, 0.5000, 0.5000) x2
Zn (0.1018, 0.3897, 0.2142) x8
Zn (0.1843, 0.1793, 0.3509) x8
Zn (0.2500, 0.2500, 0.0000) x4

---

A plane-wave DFT calculation with PBE was carried out for a relaxed CeMg2Zn crystal.

Cell: 3.0767 3.0767 31.7904 Å, 90.00 90.00 120.00°
Space group R3m (No. 160, hexagonal axes)
Symmetry-distinct sites (fractional):
Ce (0.0000, 0.0000, 0.0000) x3
Mg (0.0000, 0.0000, 0.2407) x3
Mg (0.0000, 0.0000, 0.4275) x3
Zn (0.0000, 0.0000, 0.8342) x3

---

A plane-wave DFT calculation with PBE was carried out for a relaxed Ce3Mg3Zn8 crystal.

Cell: 4.5704 8.9873 13.7483 Å, 90.00 90.00 90.00°
Space group Immm (No. 71)
Symmetry-distinct sites (fractional):
Ce (0.0000, 0.0000, 0.0000) x2
Ce (0.0000, 0.0000, 0.2918) x4
Mg (0.0000, 0.1997, 0.5000) x4
Mg (0.0000, 0.5000, 0.0000) x2
Zn (0.0000, 0.2773, 0.1471) x8
Zn (0.0000, 0.3617, 0.3363) x8

---

A plane-wave DFT calculation with PBE was carried out for a relaxed CeMg5Zn6 crystal.

Cell: 4.6488 7.1789 7.2930 Å, 90.00 107.99 90.00°
Space group P2/m (No. 10)
Symmetry-distinct sites (fractional):
Ce (0.0000, 0.0000, 0.0000) x1
Mg (0.0000, 0.5000, 0.0000) x1
Mg (0.3305, 0.0000, 0.6552) x2
Mg (0.3401, 0.5000, 0.6702) x2
Zn (0.1646, 0.2618, 0.3435) x4
Zn (0.5000, 0.2657, 0.0000) x2

---

A plane-wave DFT calculation with PBE was carried out for a relaxed Ce3MgZn8 crystal.

Cell: 5.4720 5.4720 26.6484 Å, 90.00 90.00 120.00°
Space group R3m (No. 160, hexagonal axes)
Symmetry-distinct sites (fractional):
Ce (0.0000, 0.0000, 0.0000) x3
Ce (0.0000, 0.0000, 0.1237) x3
Ce (0.0000, 0.0000, 0.6264) x3
Mg (0.0000, 0.0000, 0.4991) x3
Zn (0.0000, 0.0000, 0.3131) x3
Zn (0.0000, 0.0000, 0.8117) x3
Zn (0.0030, 0.5015, 0.0639) x9
Zn (0.1682, 0.3364, 0.8948) x9

---

Computed values of DFT formation energy (unit: meV/atom) for the preceding records, in sequence: -115, -148, 1, -240, -99, -226.
Computed values of E (unit: eV per atom) for the preceding records, in sequence: -1.821, -1.805, -2.599, -2.582, -1.895, -2.692.